[1]
Compound: Sr2NbTlO6
Source: Alexandria via LeMat-Bulk
Functional: PBE-GGA
Structure: relaxed

Cell: 5.842 5.980 10.162 Å, 90.00 125.07 90.00°
Positions (direct):
Sr  0.241  0.045  0.252
Sr  0.241  0.455  0.752
Sr  0.759  0.545  0.248
Sr  0.759  0.955  0.748
Nb  0.000  0.000  0.500
Nb  0.000  0.500  0.000
Tl  0.500  0.000  0.000
Tl  0.500  0.500  0.500
O  0.137  0.224  0.949
O  0.137  0.276  0.449
O  0.236  0.691  0.957
O  0.236  0.809  0.457
O  0.323  0.031  0.734
O  0.323  0.469  0.234
O  0.677  0.531  0.766
O  0.677  0.969  0.266
O  0.764  0.191  0.543
O  0.764  0.309  0.043
O  0.863  0.724  0.551
O  0.863  0.776  0.051

Results
* formation energy from raw total energies: -2320.2 meV per atom
* volume: 290.6 Å³/cell
* total energy: -0.505 Ry per atom

[2]
Compound: Zr2TaPCl
Source: Alexandria via LeMat-Bulk
Functional: PBE-GGA
Structure: relaxed

Cell: 5.221 5.221 4.683 Å, 90.00 90.00 90.00°
Positions (direct):
Zr  0.000  0.500  0.000
Zr  0.500  0.000  0.000
Ta  0.000  0.000  0.000
P  0.000  0.000  0.500
Cl  0.500  0.500  0.500

Results
* formation energy from raw total energies: 493.2 meV per atom
* volume: 127.7 Å³/cell
* total energy: -0.496 Ry per atom

[3]
Compound: MgAl6Au12
Source: Alexandria via LeMat-Bulk
Functional: PBE-GGA
Structure: relaxed

Cell: 7.583 7.583 7.583 Å, 107.69 107.69 107.69°
Positions (direct):
Mg  0.000  0.000  0.000
Al  0.289  0.289  0.694
Al  0.289  0.694  0.289
Al  0.306  0.711  0.711
Al  0.695  0.289  0.289
Al  0.711  0.306  0.711
Al  0.711  0.711  0.305
Au  0.120  0.500  0.880
Au  0.120  0.880  0.500
Au  0.124  0.363  0.363
Au  0.363  0.124  0.363
Au  0.363  0.363  0.124
Au  0.500  0.120  0.880
Au  0.500  0.880  0.120
Au  0.637  0.637  0.876
Au  0.637  0.876  0.637
Au  0.876  0.637  0.637
Au  0.880  0.120  0.500
Au  0.880  0.500  0.120

Results
* volume: 356.1 Å³/cell
* E above lowest polymorph: 44 meV per atom
* total energy: -0.265 Ry per atom
* formation energy: -0.271 eV per atom

Question: Among the records above, which one has the lowest total energy?
Answer: Sr2NbTlO6

Question: The highest volume belongs to which entry?
Answer: MgAl6Au12